{"formula": "SmTm2Sc2", "functional": "PBE", "state": "optimized geometry", "lattice_angstrom": [[3.3618, 0.0000, 0.0000], [0.0000, 2.7443, 7.9337], [0.0000, -2.7443, 7.9337]], "species": ["Sm", "Tm", "Tm", "Sc", "Sc"], "fractional_positions": [[0.0000, 0.0000, 0.0000], [0.0000, 0.3742, 0.3742], [0.5000, 0.5747, 0.5747], [0.0000, 0.7575, 0.7575], [0.5000, 0.1901, 0.1901]], "mass_density_g_cm3": 6.6, "total_magnetization_mub_per_cell": 0.6, "space_group": "Amm2 (38)", "crystal_system": "orthorhombic", "e_form_mev_per_atom": 149, "total_energy_ev_per_atom": -5.12}

***

{"formula": "Tl2InBiS4", "functional": "PBE", "state": "optimized geometry", "lattice_angstrom": [[8.2563, 0.0000, 0.0000], [0.0000, 9.7124, 0.0000], [0.0000, 0.0000, 6.3016]], "species": ["Tl", "Tl", "Tl", "Tl", "In", "In", "Bi", "Bi", "S", "S", "S", "S", "S", "S", "S", "S"], "fractional_positions": [[0.2161, 0.1448, 0.0000], [0.2839, 0.8552, 0.5000], [0.7161, 0.8552, 0.5000], [0.7839, 0.1448, 0.0000], [0.0000, 0.6698, 0.9414], [0.5000, 0.3302, 0.4414], [0.0000, 0.3974, 0.4640], [0.5000, 0.6026, 0.9640], [0.0000, 0.4191, 0.0438], [0.0000, 0.6818, 0.5427], [0.2406, 0.2090, 0.5224], [0.2594, 0.7910, 0.0224], [0.5000, 0.3182, 0.0427], [0.5000, 0.5809, 0.5438], [0.7406, 0.7910, 0.0224], [0.7594, 0.2090, 0.5224]], "mass_density_g_cm3": 5.7, "total_magnetization_mub_per_cell": 0.0, "space_group": "Pmn2_1 (31)", "formation_energy_uncorrected_ev_per_atom": -0.40, "crystal_system": "orthorhombic", "total_energy_ev_per_atom": -3.88}

***

{"formula": "MgAuCl2", "functional": "PBE", "state": "optimized geometry", "lattice_angstrom": [[5.4719, -1.6364, 0.0000], [5.4719, 1.6364, 0.0000], [-3.7936, 0.0000, 6.3333]], "species": ["Mg", "Au", "Cl", "Cl"], "fractional_positions": [[0.0000, 0.0000, 0.0000], [0.7473, 0.7473, 0.2203], [0.4116, 0.4116, 0.7271], [0.4775, 0.4775, 0.2386]], "mass_density_g_cm3": 4.3, "total_magnetization_mub_per_cell": 0.0, "space_group": "Cm (8)", "formation_energy_uncorrected_ev_per_atom": -0.82, "crystal_system": "monoclinic", "total_energy_ev_per_atom": -2.96}

***

{"formula": "BaLi5Au3", "functional": "PBE", "state": "optimized geometry", "lattice_angstrom": [[2.1660, -6.7587, 0.0000], [2.1660, 6.7587, 0.0000], [0.0000, 0.0000, 13.0735]], "species": ["Ba", "Ba", "Li", "Li", "Li", "Li", "Li", "Li", "Li", "Li", "Li", "Li", "Au", "Au", "Au", "Au", "Au", "Au"], "fractional_positions": [[0.1598, 0.8402, 0.7500], [0.8402, 0.1598, 0.2500], [0.0000, 0.0000, 0.0000], [0.0000, 0.0000, 0.5000], [0.1979, 0.8021, 0.0538], [0.1979, 0.8021, 0.4462], [0.4306, 0.5694, 0.6451], [0.4306, 0.5694, 0.8549], [0.5694, 0.4306, 0.1451], [0.5694, 0.4306, 0.3549], [0.8021, 0.1979, 0.5538], [0.8021, 0.1979, 0.9462], [0.1259, 0.8741, 0.2500], [0.3929, 0.6071, 0.0496], [0.3929, 0.6071, 0.4504], [0.6071, 0.3929, 0.5496], [0.6071, 0.3929, 0.9504], [0.8741, 0.1259, 0.7500]], "mass_density_g_cm3": 6.6, "total_magnetization_mub_per_cell": 0.0, "space_group": "Cmcm (63)", "crystal_system": "orthorhombic", "e_form_mev_per_atom": -483, "total_energy_ev_per_atom": -2.85}

***

{"formula": "ThU3Tc3", "functional": "PBE", "state": "optimized geometry", "lattice_angstrom": [[7.1552, 0.0000, 0.0000], [0.0000, 7.1552, 0.0000], [0.0000, 0.0000, 7.1552]], "species": ["Th", "Th", "U", "U", "U", "U", "U", "U", "Tc", "Tc", "Tc", "Tc", "Tc", "Tc"], "fractional_positions": [[0.0000, 0.0000, 0.0000], [0.5000, 0.5000, 0.5000], [0.0000, 0.2500, 0.5000], [0.0000, 0.7500, 0.5000], [0.2500, 0.5000, 0.0000], [0.5000, 0.0000, 0.2500], [0.5000, 0.0000, 0.7500], [0.7500, 0.5000, 0.0000], [0.0000, 0.5000, 0.2500], [0.0000, 0.5000, 0.7500], [0.2500, 0.0000, 0.5000], [0.5000, 0.2500, 0.0000], [0.5000, 0.7500, 0.0000], [0.7500, 0.0000, 0.5000]], "mass_density_g_cm3": 11.2, "total_magnetization_mub_per_cell": 10.5, "space_group": "Pm-3n (223)", "crystal_system": "cubic", "e_form_mev_per_atom": 826, "total_energy_ev_per_atom": -9.51}

***

{"formula": "SiIrRh2Br", "functional": "PBE", "state": "optimized geometry", "lattice_angstrom": [[4.7974, 0.0000, 0.0000], [0.0000, 4.7974, 0.0000], [0.0000, 0.0000, 4.8904]], "species": ["Si", "Ir", "Rh", "Rh", "Br"], "fractional_positions": [[0.0000, 0.0000, 0.0000], [0.5000, 0.5000, 0.5000], [0.0000, 0.5000, 0.5000], [0.5000, 0.0000, 0.5000], [0.5000, 0.5000, 0.0000]], "mass_density_g_cm3": 7.5, "total_magnetization_mub_per_cell": 0.0, "space_group": "P4/mmm (123)", "formation_energy_uncorrected_ev_per_atom": 1.37, "crystal_system": "tetragonal", "total_energy_ev_per_atom": -4.76}

***

{"formula": "AcSi7Ru3", "functional": "PBE", "state": "optimized geometry", "lattice_angstrom": [[3.8706, 2.2347, 6.8227], [-3.8706, 2.2347, 6.8227], [0.0000, -4.4694, 6.8227]], "species": ["Ac", "Ac", "Si", "Si", "Si", "Si", "Si", "Si", "Si", "Si", "Si", "Si", "Si", "Si", "Si", "Si", "Ru", "Ru", "Ru", "Ru", "Ru", "Ru"], "fractional_positions": [[0.0000, 0.0000, 0.0000], [0.5000, 0.5000, 0.5000], [0.0541, 0.8536, 0.6694], [0.1464, 0.3306, 0.9459], [0.1694, 0.3536, 0.5541], [0.2500, 0.2500, 0.2500], [0.3306, 0.9459, 0.1464], [0.3536, 0.5541, 0.1694], [0.4459, 0.8306, 0.6464], [0.5541, 0.1694, 0.3536], [0.6464, 0.4459, 0.8306], [0.6694, 0.0541, 0.8536], [0.7500, 0.7500, 0.7500], [0.8306, 0.6464, 0.4459], [0.8536, 0.6694, 0.0541], [0.9459, 0.1464, 0.3306], [0.0787, 0.7500, 0.4213], [0.2500, 0.5787, 0.9213], [0.4213, 0.0787, 0.7500], [0.5787, 0.9213, 0.2500], [0.7500, 0.4213, 0.0787], [0.9213, 0.2500, 0.5787]], "mass_density_g_cm3": 6.8, "total_magnetization_mub_per_cell": 0.0, "space_group": "R-3c (167)", "formation_energy_uncorrected_ev_per_atom": -0.47, "crystal_system": "trigonal", "total_energy_ev_per_atom": -6.82}

***

{"formula": "GdScTlZn", "functional": "PBE", "state": "optimized geometry", "lattice_angstrom": [[0.0000, 3.6172, 3.6172], [3.6172, 0.0000, 3.6172], [3.6172, 3.6172, 0.0000]], "species": ["Gd", "Sc", "Tl", "Zn"], "fractional_positions": [[0.0000, 0.0000, 0.0000], [0.5000, 0.5000, 0.5000], [0.7500, 0.7500, 0.7500], [0.2500, 0.2500, 0.2500]], "mass_density_g_cm3": 8.3, "total_magnetization_mub_per_cell": 7.8, "space_group": "F-43m (216)", "crystal_system": "cubic", "e_form_mev_per_atom": -311, "total_energy_ev_per_atom": -6.32}

***

{"formula": "HgAs2Br", "functional": "PBE", "state": "optimized geometry", "lattice_angstrom": [[5.2484, 0.0000, 0.0000], [0.0000, 5.2484, 0.0000], [0.0000, 0.0000, 3.2646]], "species": ["Hg", "As", "As", "Br"], "fractional_positions": [[0.0000, 0.0000, 0.0000], [0.0000, 0.5000, 0.5000], [0.5000, 0.0000, 0.5000], [0.5000, 0.5000, 0.0000]], "mass_density_g_cm3": 7.9, "total_magnetization_mub_per_cell": 0.0, "space_group": "P4/mmm (123)", "formation_energy_uncorrected_ev_per_atom": 0.54, "crystal_system": "tetragonal", "total_energy_ev_per_atom": -2.28}

***

{"formula": "Mn2AlFe", "functional": "PBE", "state": "optimized geometry", "lattice_angstrom": [[-3.2695, 3.2695, 2.4569], [3.2695, -3.2695, 2.4569], [3.2695, 3.2695, -2.4569]], "species": ["Mn", "Mn", "Mn", "Mn", "Al", "Al", "Fe", "Fe"], "fractional_positions": [[0.0799, 0.6250, 0.9549], [0.3750, 0.3299, 0.4549], [0.6701, 0.1250, 0.0451], [0.8750, 0.9201, 0.5451], [0.2500, 0.7500, 0.5000], [0.5000, 0.5000, 0.0000], [0.0000, 0.0000, 0.0000], [0.7500, 0.2500, 0.5000]], "mass_density_g_cm3": 6.1, "total_magnetization_mub_per_cell": 5.7, "space_group": "I-42d (122)", "crystal_system": "tetragonal", "e_form_mev_per_atom": 440, "total_energy_ev_per_atom": -7.20}

***

{"formula": "Pm2ThCd2Ag2", "functional": "PBE", "state": "optimized geometry", "lattice_angstrom": [[2.4657, 1.4236, 8.8810], [-2.4657, 1.4236, 8.8810], [0.0000, -2.8472, 8.8810]], "species": ["Pm", "Pm", "Th", "Cd", "Cd", "Ag", "Ag"], "fractional_positions": [[0.1240, 0.1240, 0.1240], [0.8760, 0.8760, 0.8760], [0.0000, 0.0000, 0.0000], [0.2632, 0.2632, 0.2632], [0.7368, 0.7368, 0.7368], [0.3963, 0.3963, 0.3963], [0.6037, 0.6037, 0.6037]], "mass_density_g_cm3": 8.5, "total_magnetization_mub_per_cell": 0.0, "space_group": "R-3m (166)", "crystal_system": "trigonal", "e_form_mev_per_atom": -134, "total_energy_ev_per_atom": -3.63}

***

{"formula": "LuHg2Pt", "functional": "PBE", "state": "optimized geometry", "lattice_angstrom": [[1.6081, 0.9284, 10.4097], [-1.6081, 0.9284, 10.4097], [0.0000, -1.8568, 10.4097]], "species": ["Lu", "Hg", "Hg", "Pt"], "fractional_positions": [[0.0000, 0.0000, 0.0000], [0.0958, 0.0958, 0.0958], [0.9042, 0.9042, 0.9042], [0.5000, 0.5000, 0.5000]], "mass_density_g_cm3": 13.7, "total_magnetization_mub_per_cell": 0.0, "space_group": "R-3m (166)", "crystal_system": "trigonal", "e_form_mev_per_atom": 209, "total_energy_ev_per_atom": -2.58}

***

{"formula": "ScCdBr2", "functional": "PBE", "state": "optimized geometry", "lattice_angstrom": [[0.0000, 3.6774, 3.6774], [3.6774, 0.0000, 3.6774], [3.6774, 3.6774, 0.0000]], "species": ["Sc", "Cd", "Br", "Br"], "fractional_positions": [[0.0000, 0.0000, 0.0000], [0.5000, 0.5000, 0.5000], [0.2500, 0.2500, 0.2500], [0.7500, 0.7500, 0.7500]], "mass_density_g_cm3": 5.3, "total_magnetization_mub_per_cell": 1.0, "space_group": "Fm-3m (225)", "formation_energy_uncorrected_ev_per_atom": -0.49, "crystal_system": "cubic", "total_energy_ev_per_atom": -3.14}

***

{"formula": "Y3BRu", "functional": "PBE", "state": "optimized geometry", "lattice_angstrom": [[4.9023, 0.0000, 0.0000], [0.0000, 4.9023, 0.0000], [0.0000, 0.0000, 4.9023]], "species": ["Y", "Y", "Y", "B", "Ru"], "fractional_positions": [[0.0000, 0.0000, 0.5000], [0.0000, 0.5000, 0.0000], [0.5000, 0.0000, 0.0000], [0.0000, 0.0000, 0.0000], [0.5000, 0.5000, 0.5000]], "mass_density_g_cm3": 5.3, "total_magnetization_mub_per_cell": 0.0, "space_group": "Pm-3m (221)", "crystal_system": "cubic", "e_form_mev_per_atom": 238, "total_energy_ev_per_atom": -6.83}

***

{"formula": "TaVPtI2", "functional": "PBE", "state": "optimized geometry", "lattice_angstrom": [[5.4177, 0.0000, 0.0000], [0.0000, 5.4177, 0.0000], [0.0000, 0.0000, 5.0190]], "species": ["Ta", "V", "Pt", "I", "I"], "fractional_positions": [[0.0000, 0.0000, 0.0000], [0.5000, 0.5000, 0.5000], [0.0000, 0.0000, 0.5000], [0.0000, 0.5000, 0.0000], [0.5000, 0.0000, 0.0000]], "mass_density_g_cm3": 7.7, "total_magnetization_mub_per_cell": 0.2, "space_group": "P4/mmm (123)", "formation_energy_uncorrected_ev_per_atom": 1.29, "crystal_system": "tetragonal", "total_energy_ev_per_atom": -4.74}